No. 1
DFT (PBE) results for an optimized crystal structure of PuHf2ZrAs4.

Cell lengths 3.897, 6.774, 6.778 Å; angles 109.07, 90.00, 90.00 degrees
Last column: magnetic moment on the atom in μB.
Atoms (fractional coordinates):
As 0.500 0.740 0.737  -0.04
Pu 0.000 0.000 0.000  5.14
Hf 0.000 0.500 0.500  -0.03
As 0.500 0.260 0.263  -0.04
As 0.000 0.748 0.258  -0.02
As 0.000 0.252 0.742  -0.02
Hf 0.500 0.000 0.500  0.04
Zr 0.500 0.500 0.000  0.06

**D(E_F)**: 1.382 states/eV/atom
**Space-group type**: P2/m
**Formation energy from the elements**: -1.047 eV per atom
**Uncorrected energy**: -8.7199 eV per atom

***

No. 2
DFT (PBE) results for an optimized crystal structure of CoHg2Cl.

Cell lengths 5.272, 5.272, 6.363 Å; angles 69.96, 69.96, 35.26 degrees
Last column: magnetic moment on the atom in μB.
Atoms (fractional coordinates):
Co 0.199 0.199 0.169  1.73
Hg 0.745 0.745 0.804  0.01
Cl 0.607 0.607 0.441  0.10
Hg 0.949 0.949 0.085  0.00

**D(E_F)**: 0.817 states/eV/atom
**Uncorrected formation energy**: 4 kJ/mol of atoms
**Space-group type**: Cm
**Uncorrected energy**: -2.3467 eV per atom